*a*
# BiOs3F, optimized geometry, DFT PBE
# Size of the total moment (μB/atom): 0.000
data_BiOs3F
_cell_length_a 4.373
_cell_length_b 4.373
_cell_length_c 4.373
_cell_angle_alpha 90.00
_cell_angle_beta 90.00
_cell_angle_gamma 90.00
_space_group_name_H-M_alt 'P m -3 m'
_space_group_IT_number 221
_space_group_name_Hall '-P 4 2 3'
loop_
_atom_site_label
_atom_site_type_symbol
_atom_site_fract_x
_atom_site_fract_y
_atom_site_fract_z
Bi1 Bi 0.000 0.000 0.000
Os1 Os 0.000 0.500 0.500
F1 F 0.500 0.500 0.500


*b*
# BiOs3F, optimized geometry, DFT PBE
# Size of the total moment (μB/atom): 1.178
data_BiOs3F
_cell_length_a 5.087
_cell_length_b 5.087
_cell_length_c 5.087
_cell_angle_alpha 90.00
_cell_angle_beta 90.00
_cell_angle_gamma 90.00
_space_group_name_H-M_alt 'P m -3 m'
_space_group_IT_number 221
_space_group_name_Hall '-P 4 2 3'
loop_
_atom_site_label
_atom_site_type_symbol
_atom_site_fract_x
_atom_site_fract_y
_atom_site_fract_z
Bi1 Bi 0.000 0.000 0.000
Os1 Os 0.000 0.000 0.500
F1 F 0.500 0.500 0.500


Relative to the most stable one, in meV/atom, the structures come out at *a* 0; *b* 1316.


*a*
# BiOsF2, optimized geometry, DFT PBE
# Size of the total moment (μB/atom): 0.291
data_BiOsF2
_cell_length_a 3.0132
_cell_length_b 3.0132
_cell_length_c 25.7803
_cell_angle_alpha 90.00
_cell_angle_beta 90.00
_cell_angle_gamma 120.00
_space_group_name_H-M_alt 'R -3 m'
_space_group_IT_number 166
_space_group_name_Hall '-R 3 2"'
loop_
_atom_site_label
_atom_site_type_symbol
_atom_site_fract_x
_atom_site_fract_y
_atom_site_fract_z
Bi1 Bi 0.0000 0.0000 0.0000
Os1 Os 0.0000 0.0000 0.5000
F1 F 0.0000 0.0000 0.4233


*b*
# BiOsF2, optimized geometry, DFT PBE
# Size of the total moment (μB/atom): 0.000
data_BiOsF2
_cell_length_a 7.213
_cell_length_b 7.213
_cell_length_c 5.275
_cell_angle_alpha 90.00
_cell_angle_beta 90.00
_cell_angle_gamma 90.00
_space_group_name_H-M_alt 'I -4 2 d'
_space_group_IT_number 122
_space_group_name_Hall 'I -4 2bw'
loop_
_atom_site_label
_atom_site_type_symbol
_atom_site_fract_x
_atom_site_fract_y
_atom_site_fract_z
Bi1 Bi 0.000 0.000 0.000
Os1 Os 0.000 0.000 0.500
F1 F 0.156 0.750 0.625


*c*
# BiOsF2, optimized geometry, DFT PBE
# Size of the total moment (μB/atom): 0.750
data_BiOsF2
_cell_length_a 6.350
_cell_length_b 6.350
_cell_length_c 6.350
_cell_angle_alpha 90.00
_cell_angle_beta 90.00
_cell_angle_gamma 90.00
_space_group_name_H-M_alt 'F m -3 m'
_space_group_IT_number 225
_space_group_name_Hall '-F 4 2 3'
loop_
_atom_site_label
_atom_site_type_symbol
_atom_site_fract_x
_atom_site_fract_y
_atom_site_fract_z
Bi1 Bi 0.000 0.000 0.000
Os1 Os 0.000 0.000 0.500
F1 F 0.250 0.250 0.250


Relative to the most stable one, in meV/atom, the structures come out at *a* 0; *b* 366; *c* 543.


*a*
# BiOs2F, optimized geometry, DFT PBE
# Size of the total moment (μB/atom): 0.314
data_BiOs2F
_cell_length_a 6.381
_cell_length_b 6.381
_cell_length_c 6.381
_cell_angle_alpha 90.00
_cell_angle_beta 90.00
_cell_angle_gamma 90.00
_space_group_name_H-M_alt 'F m -3 m'
_space_group_IT_number 225
_space_group_name_Hall '-F 4 2 3'
loop_
_atom_site_label
_atom_site_type_symbol
_atom_site_fract_x
_atom_site_fract_y
_atom_site_fract_z
Bi1 Bi 0.000 0.000 0.000
Os1 Os 0.250 0.250 0.250
F1 F 0.000 0.000 0.500


*b*
# BiOs2F, optimized geometry, DFT PBE
# Size of the total moment (μB/atom): 0.000
data_BiOs2F
_cell_length_a 3.587
_cell_length_b 3.587
_cell_length_c 22.301
_cell_angle_alpha 90.00
_cell_angle_beta 90.00
_cell_angle_gamma 90.00
_space_group_name_H-M_alt 'I -4 2 d'
_space_group_IT_number 122
_space_group_name_Hall 'I -4 2bw'
loop_
_atom_site_label
_atom_site_type_symbol
_atom_site_fract_x
_atom_site_fract_y
_atom_site_fract_z
Bi1 Bi 0.000 0.000 0.000
Os1 Os 0.238 0.250 0.625
F1 F 0.000 0.000 0.500


Relative to the most stable one, in meV/atom, the structures come out at *a* 587; *b* 0.


*a*
# BiPS2F, optimized geometry, DFT PBE
# Size of the total moment (μB/atom): 0.017
data_BiPS2F
_cell_length_a 5.235
_cell_length_b 5.235
_cell_length_c 5.549
_cell_angle_alpha 90.00
_cell_angle_beta 90.00
_cell_angle_gamma 90.00
_space_group_name_H-M_alt 'P 4/m m m'
_space_group_IT_number 123
_space_group_name_Hall '-P 4 2'
loop_
_atom_site_label
_atom_site_type_symbol
_atom_site_fract_x
_atom_site_fract_y
_atom_site_fract_z
Bi1 Bi 0.000 0.000 0.000
P1 P 0.000 0.000 0.500
S1 S 0.000 0.500 0.000
F1 F 0.500 0.500 0.500


*b*
# BiPS2F, optimized geometry, DFT PBE
# Size of the total moment (μB/atom): 0.000
data_BiPS2F
_cell_length_a 5.152
_cell_length_b 5.152
_cell_length_c 3.676
_cell_angle_alpha 90.00
_cell_angle_beta 90.00
_cell_angle_gamma 90.00
_space_group_name_H-M_alt 'P 4/m m m'
_space_group_IT_number 123
_space_group_name_Hall '-P 4 2'
loop_
_atom_site_label
_atom_site_type_symbol
_atom_site_fract_x
_atom_site_fract_y
_atom_site_fract_z
Bi1 Bi 0.000 0.000 0.000
P1 P 0.500 0.500 0.000
S1 S 0.000 0.500 0.500
F1 F 0.500 0.500 0.500


Relative to the most stable one, in meV/atom, the structures come out at *a* 530; *b* 0.


*a*
# BiPbF2, optimized geometry, DFT PBE
# Size of the total moment (μB/atom): 0.000
data_BiPbF2
_cell_length_a 7.114
_cell_length_b 7.114
_cell_length_c 6.649
_cell_angle_alpha 90.00
_cell_angle_beta 90.00
_cell_angle_gamma 90.00
_space_group_name_H-M_alt 'I -4 2 d'
_space_group_IT_number 122
_space_group_name_Hall 'I -4 2bw'
loop_
_atom_site_label
_atom_site_type_symbol
_atom_site_fract_x
_atom_site_fract_y
_atom_site_fract_z
Bi1 Bi 0.000 0.000 0.000
Pb1 Pb 0.000 0.000 0.500
F1 F 0.238 0.250 0.625


*b*
# BiPbF2, optimized geometry, DFT PBE
# Size of the total moment (μB/atom): 0.000
data_BiPbF2
_cell_length_a 6.761
_cell_length_b 6.761
_cell_length_c 6.761
_cell_angle_alpha 90.00
_cell_angle_beta 90.00
_cell_angle_gamma 90.00
_space_group_name_H-M_alt 'F m -3 m'
_space_group_IT_number 225
_space_group_name_Hall '-F 4 2 3'
loop_
_atom_site_label
_atom_site_type_symbol
_atom_site_fract_x
_atom_site_fract_y
_atom_site_fract_z
Bi1 Bi 0.000 0.000 0.000
Pb1 Pb 0.000 0.000 0.500
F1 F 0.250 0.250 0.250


Relative to the most stable one, in meV/atom, the structures come out at *a* 0; *b* 201.


*a*
# BiPbF, optimized geometry, DFT PBE
# Size of the total moment (μB/atom): 0.000
data_BiPbF
_cell_length_a 3.5675
_cell_length_b 3.5675
_cell_length_c 7.3032
_cell_angle_alpha 90.00
_cell_angle_beta 90.00
_cell_angle_gamma 120.00
_space_group_name_H-M_alt 'P 3 m 1'
_space_group_IT_number 156
_space_group_name_Hall 'P 3 -2"'
loop_
_atom_site_label
_atom_site_type_symbol
_atom_site_fract_x
_atom_site_fract_y
_atom_site_fract_z
Bi1 Bi 0.0000 0.0000 0.0000
Pb1 Pb 0.6667 0.3333 0.3911
F1 F 0.3333 0.6667 0.5888


*b*
# BiPbF, optimized geometry, DFT PBE
# Size of the total moment (μB/atom): 0.000
data_BiPbF
_cell_length_a 15.505
_cell_length_b 3.522
_cell_length_c 6.267
_cell_angle_alpha 90.00
_cell_angle_beta 90.00
_cell_angle_gamma 90.00
_space_group_name_H-M_alt 'A m m 2'
_space_group_IT_number 38
_space_group_name_Hall 'A 2 -2'
loop_
_atom_site_label
_atom_site_type_symbol
_atom_site_fract_x
_atom_site_fract_y
_atom_site_fract_z
Bi1 Bi 0.185 0.000 0.000
Pb1 Pb 0.000 0.000 0.323
Pb2 Pb 0.500 0.000 0.098
F1 F 0.412 0.000 0.429


Relative to the most stable one, in meV/atom, the structures come out at *a* 15; *b* 0.